First-principles (PBEsol) data for crystalline CdSbTe2P at its relaxed geometry, as listed in the Alexandria database. Values from VASP.

Uncorrected formation energy   1102 meV per atom

Cell and atoms, written as Quantum ESPRESSO input:
```
&SYSTEM
  ibrav = 0, nat = 5, ntyp = 4
/
ATOMIC_SPECIES
Cd 112.41 Cd.upf
Sb 121.76 Sb.upf
Te 127.60 Te.upf
P 30.97 P.upf
CELL_PARAMETERS angstrom
5.3687 0.0000 0.0000
0.0000 5.3687 0.0000
0.0000 0.0000 5.3866
ATOMIC_POSITIONS crystal
Cd 0.0000 0.0000 0.0000
Sb 0.0000 0.0000 0.5000
Te 0.0000 0.5000 0.0000
Te 0.5000 0.0000 0.0000
P 0.5000 0.5000 0.5000
```


First-principles (PBEsol) data for crystalline ScCdP3 at its relaxed geometry, as listed in the Alexandria database. Values from VASP.

Electronic total energy   -4.254 eV/atom

Cell and atoms, written as Quantum ESPRESSO input:
```
&SYSTEM
  ibrav = 0, nat = 5, ntyp = 3
/
ATOMIC_SPECIES
Sc 44.96 Sc.upf
Cd 112.41 Cd.upf
P 30.97 P.upf
CELL_PARAMETERS angstrom
4.8173 0.0000 0.0000
0.0000 4.8173 0.0000
0.0000 0.0000 4.8173
ATOMIC_POSITIONS crystal
Sc 0.0000 0.0000 0.0000
Cd 0.5000 0.5000 0.5000
P 0.0000 0.5000 0.5000
P 0.5000 0.0000 0.5000
P 0.5000 0.5000 0.0000
```


First-principles (PBEsol) data for crystalline Sr2ScCdP at its relaxed geometry, as listed in the Alexandria database. Values from VASP.

Electronic total energy   -3.417 eV/atom

Cell and atoms, written as Quantum ESPRESSO input:
```
&SYSTEM
  ibrav = 0, nat = 5, ntyp = 4
/
ATOMIC_SPECIES
Sr 87.62 Sr.upf
Sc 44.96 Sc.upf
Cd 112.41 Cd.upf
P 30.97 P.upf
CELL_PARAMETERS angstrom
5.7410 0.0000 0.0000
0.0000 5.7410 0.0000
0.0000 0.0000 4.9957
ATOMIC_POSITIONS crystal
Sr 0.0000 0.5000 0.0000
Sr 0.5000 0.0000 0.0000
Sc 0.0000 0.0000 0.5000
Cd 0.5000 0.5000 0.5000
P 0.5000 0.5000 0.0000
```


First-principles (PBEsol) data for crystalline ScTa2CdP at its relaxed geometry, as listed in the Alexandria database. Values from VASP.

Electronic total energy   -5.941 eV/atom

Cell and atoms, written as Quantum ESPRESSO input:
```
&SYSTEM
  ibrav = 0, nat = 5, ntyp = 4
/
ATOMIC_SPECIES
Sc 44.96 Sc.upf
Ta 180.95 Ta.upf
Cd 112.41 Cd.upf
P 30.97 P.upf
CELL_PARAMETERS angstrom
5.0380 0.0000 0.0000
0.0000 5.0380 0.0000
0.0000 0.0000 4.6180
ATOMIC_POSITIONS crystal
Sc 0.0000 0.0000 0.0000
Ta 0.0000 0.5000 0.5000
Ta 0.5000 0.0000 0.5000
Cd 0.5000 0.5000 0.5000
P 0.5000 0.5000 0.0000
```


First-principles (PBEsol) data for crystalline CdP2Se at its relaxed geometry, as listed in the Alexandria database. Values from VASP.

Uncorrected formation energy   467 meV per atom

Cell and atoms, written as Quantum ESPRESSO input:
```
&SYSTEM
  ibrav = 0, nat = 4, ntyp = 3
/
ATOMIC_SPECIES
Cd 112.41 Cd.upf
P 30.97 P.upf
Se 78.96 Se.upf
CELL_PARAMETERS angstrom
-1.6671 2.4156 4.4383
1.6671 -2.4156 4.4383
1.6671 2.4156 -4.4383
ATOMIC_POSITIONS crystal
Cd 0.0000 0.0000 0.0000
P 0.2727 0.7727 0.5000
P 0.7273 0.2273 0.5000
Se 0.5000 0.5000 0.0000
```


First-principles (PBEsol) data for crystalline CdSiP at its relaxed geometry, as listed in the Alexandria database. Values from VASP.

Uncorrected formation energy   484 meV per atom

Cell and atoms, written as Quantum ESPRESSO input:
```
&SYSTEM
  ibrav = 0, nat = 3, ntyp = 3
/
ATOMIC_SPECIES
Cd 112.41 Cd.upf
Si 28.09 Si.upf
P 30.97 P.upf
CELL_PARAMETERS angstrom
0.0000 3.1075 3.1075
3.1075 0.0000 3.1075
3.1075 3.1075 0.0000
ATOMIC_POSITIONS crystal
Cd 0.0000 0.0000 0.0000
Si 0.5000 0.5000 0.5000
P 0.7500 0.7500 0.7500
```


First-principles (PBEsol) data for crystalline CdSnP14 at its relaxed geometry, as listed in the Alexandria database. Values from VASP.

Electronic total energy   -5.437 eV/atom

Cell and atoms, written as Quantum ESPRESSO input:
```
&SYSTEM
  ibrav = 0, nat = 64, ntyp = 3
/
ATOMIC_SPECIES
Cd 112.41 Cd.upf
Sn 118.71 Sn.upf
P 30.97 P.upf
CELL_PARAMETERS angstrom
12.6750 0.0000 0.0000
0.0000 9.8177 0.0000
0.0000 0.0000 10.4877
ATOMIC_POSITIONS crystal
Cd 0.1847 0.2500 0.0113
Cd 0.3153 0.7500 0.5113
Cd 0.6847 0.2500 0.4887
Cd 0.8153 0.7500 0.9887
Sn 0.1693 0.7500 0.0998
Sn 0.3308 0.2500 0.5998
Sn 0.6692 0.7500 0.4002
Sn 0.8308 0.2500 0.9002
P 0.0350 0.5756 0.8487
P 0.0350 0.9244 0.8487
P 0.0359 0.2500 0.8366
P 0.0637 0.7500 0.7189
P 0.0646 0.5804 0.4263
P 0.0646 0.9196 0.4263
P 0.0773 0.0823 0.7062
P 0.0772 0.2500 0.4088
P 0.0773 0.4177 0.7062
P 0.1361 0.0413 0.1427
P 0.1361 0.4587 0.1427
P 0.1626 0.7500 0.3556
P 0.1736 0.0750 0.3440
P 0.1736 0.4250 0.3440
P 0.3264 0.5750 0.8440
P 0.3264 0.9250 0.8440
P 0.3374 0.2500 0.8556
P 0.3639 0.5413 0.6427
P 0.3639 0.9587 0.6427
P 0.4227 0.5823 0.2062
P 0.4228 0.7500 0.9088
P 0.4227 0.9177 0.2062
P 0.4354 0.0804 0.9263
P 0.4354 0.4196 0.9263
P 0.4363 0.2500 0.2189
P 0.4641 0.7500 0.3366
P 0.4650 0.0756 0.3487
P 0.4650 0.4244 0.3487
P 0.5350 0.5756 0.6513
P 0.5350 0.9244 0.6513
P 0.5359 0.2500 0.6634
P 0.5637 0.7500 0.7811
P 0.5646 0.5804 0.0737
P 0.5646 0.9196 0.0737
P 0.5773 0.0823 0.7938
P 0.5772 0.2500 0.0912
P 0.5773 0.4177 0.7938
P 0.6361 0.0413 0.3573
P 0.6361 0.4587 0.3573
P 0.6626 0.7500 0.1444
P 0.6736 0.0750 0.1560
P 0.6736 0.4250 0.1560
P 0.8264 0.5750 0.6560
P 0.8264 0.9250 0.6560
P 0.8374 0.2500 0.6444
P 0.8639 0.5413 0.8573
P 0.8639 0.9587 0.8573
P 0.9227 0.5823 0.2938
P 0.9228 0.7500 0.5912
P 0.9227 0.9177 0.2938
P 0.9354 0.0804 0.5737
P 0.9354 0.4196 0.5737
P 0.9363 0.2500 0.2811
P 0.9641 0.7500 0.1634
P 0.9650 0.0756 0.1513
P 0.9650 0.4244 0.1513
```


First-principles (PBEsol) data for crystalline SrCdP2 at its relaxed geometry, as listed in the Alexandria database. Values from VASP.

Electronic total energy   -4.166 eV/atom

Cell and atoms, written as Quantum ESPRESSO input:
```
&SYSTEM
  ibrav = 0, nat = 4, ntyp = 3
/
ATOMIC_SPECIES
Sr 87.62 Sr.upf
Cd 112.41 Cd.upf
P 30.97 P.upf
CELL_PARAMETERS angstrom
5.6489 -2.1237 0.0000
5.6489 2.1237 0.0000
-1.5721 0.0000 3.9114
ATOMIC_POSITIONS crystal
Sr 0.0000 0.0000 0.0000
Cd 0.2528 0.2528 0.7296
P 0.4011 0.4011 0.3812
P 0.6117 0.6117 0.6599
```


What did the fifth record say?
First-principles (PBEsol) data for crystalline CdP2Se at its relaxed geometry, as listed in the Alexandria database. Values from VASP.

Uncorrected formation energy   467 meV per atom

Cell and atoms, written as Quantum ESPRESSO input:
```
&SYSTEM
  ibrav = 0, nat = 4, ntyp = 3
/
ATOMIC_SPECIES
Cd 112.41 Cd.upf
P 30.97 P.upf
Se 78.96 Se.upf
CELL_PARAMETERS angstrom
-1.6671 2.4156 4.4383
1.6671 -2.4156 4.4383
1.6671 2.4156 -4.4383
ATOMIC_POSITIONS crystal
Cd 0.0000 0.0000 0.0000
P 0.2727 0.7727 0.5000
P 0.7273 0.2273 0.5000
Se 0.5000 0.5000 0.0000
```


Repeat the third record exactly.
First-principles (PBEsol) data for crystalline Sr2ScCdP at its relaxed geometry, as listed in the Alexandria database. Values from VASP.

Electronic total energy   -3.417 eV/atom

Cell and atoms, written as Quantum ESPRESSO input:
```
&SYSTEM
  ibrav = 0, nat = 5, ntyp = 4
/
ATOMIC_SPECIES
Sr 87.62 Sr.upf
Sc 44.96 Sc.upf
Cd 112.41 Cd.upf
P 30.97 P.upf
CELL_PARAMETERS angstrom
5.7410 0.0000 0.0000
0.0000 5.7410 0.0000
0.0000 0.0000 4.9957
ATOMIC_POSITIONS crystal
Sr 0.0000 0.5000 0.0000
Sr 0.5000 0.0000 0.0000
Sc 0.0000 0.0000 0.5000
Cd 0.5000 0.5000 0.5000
P 0.5000 0.5000 0.0000
```


What is the formula in the second record? ScCdP3